The following is a PBEsol calculation of YHg5 after structural relaxation, from the Alexandria database.

Summary:
ΔH_f (0 K): -0.24 eV/atom

```
data_YHg5
_chemical_formula_sum 'Y1 Hg5'
_cell_length_a 3.793
_cell_length_b 3.793
_cell_length_c 9.640
_cell_angle_alpha 90.00
_cell_angle_beta 90.00
_cell_angle_gamma 90.00
_symmetry_space_group_name_H-M 'P 1'
_symmetry_Int_Tables_number 1
_symmetry_space_group_name_Hall 'P 1'
loop_
_atom_site_label
_atom_site_type_symbol
_atom_site_fract_x
_atom_site_fract_y
_atom_site_fract_z
_atom_site_occupancy
Y1 Y 0.500 0.500 0.000 1
Hg1 Hg 0.000 0.000 0.173 1
Hg2 Hg 0.000 0.000 0.500 1
Hg3 Hg 0.500 0.500 0.335 1
Hg4 Hg 0.500 0.500 0.665 1
Hg5 Hg 0.000 0.000 0.827 1
```

---

The following is a PBEsol calculation of Y2Hg after structural relaxation, from the Alexandria database.

Summary:
ΔH_f (0 K): -0.41 eV/atom

```
data_Y2Hg
_chemical_formula_sum 'Y4 Hg2'
_cell_length_a 5.163
_cell_length_b 5.163
_cell_length_c 6.809
_cell_angle_alpha 90.00
_cell_angle_beta 90.00
_cell_angle_gamma 120.00
_symmetry_space_group_name_H-M 'P 1'
_symmetry_Int_Tables_number 1
_symmetry_space_group_name_Hall 'P 1'
loop_
_atom_site_label
_atom_site_type_symbol
_atom_site_fract_x
_atom_site_fract_y
_atom_site_fract_z
_atom_site_occupancy
Hg1 Hg 0.667 0.333 0.750 1
Hg2 Hg 0.333 0.667 0.250 1
Y1 Y 0.000 0.000 0.000 1
Y2 Y 0.333 0.667 0.750 1
Y3 Y 0.667 0.333 0.250 1
Y4 Y 0.000 0.000 0.500 1
```

---

> ΔH_f (0 K) of number 2 (Y2Hg)?

-0.41 eV/atom

---

> ΔH_f (0 K) of number 2 (Y2Hg)?

-0.41 eV/atom

---

> The highest ΔH_f (0 K) belongs to which entry?

YHg5